Entry 1:
La2NiOs (GGA-PBE, relaxed); electronic total energy = -0.485 Ry/atom; ΔE_f = 115 meV per atom; ρ = 8.993 g/cm3
1.0
-0.923 -3.462 -0.082
2.028 -0.440 -4.240
4.976 -1.386 2.523
Os Ni La
1 1 2
Direct
0.500 0.500 0.870 Os
0.000 0.000 0.379 Ni
0.000 0.000 0.878 La
0.500 0.500 0.373 La



Entry 2:
LaNiOs (GGA-PBE, relaxed); electronic total energy = -0.455 Ry/atom; ΔE_f = 1117 meV per atom; energy above the lowest structure with this stoichiometry = 1343 meV/atom; ρ = 9.981 g/cm3
1.0
-0.245 -4.473 -0.452
1.977 -2.020 -3.504
3.668 -2.531 0.636
La Os Ni
1 1 1
Direct
0.750 0.750 0.750 La
0.500 0.500 0.500 Os
0.000 0.000 0.000 Ni



Entry 3:
La3NiOs (GGA-PBE, relaxed); electronic total energy = -0.448 Ry/atom; ΔE_f = 265 meV per atom; energy above the lowest structure with this stoichiometry = 422 meV/atom; ρ = 6.537 g/cm3
1.0
5.530 0.000 0.000
0.000 5.530 0.000
0.000 0.000 5.530
La Os Ni
3 1 1
Direct
0.000 0.000 0.500 La
0.000 0.500 0.000 La
0.500 0.000 0.000 La
0.000 0.000 0.000 Os
0.500 0.500 0.500 Ni



Entry 4:
LaNiOs (GGA-PBE, relaxed); electronic total energy = -0.546 Ry/atom; ΔE_f = -112 meV per atom; energy above the lowest structure with this stoichiometry = 113 meV/atom; ρ = 10.462 g/cm3
1.0
5.691 0.000 0.009
0.000 4.188 0.000
-3.994 0.000 10.323
La Os Ni
4 4 4
Direct
0.796 0.500 0.111 La
0.204 0.500 0.889 La
0.796 0.000 0.611 La
0.204 0.000 0.389 La
0.813 0.500 0.401 Os
0.813 0.000 0.901 Os
0.187 0.000 0.099 Os
0.187 0.500 0.599 Os
0.618 0.000 0.288 Ni
0.382 0.500 0.212 Ni
0.618 0.500 0.788 Ni
0.382 0.000 0.712 Ni



| no. | magnetization (μB per cell) |
| --- | --- |
| 1 | 0.0 |
| 2 | 0.8 |
| 3 | 0.0 |
| 4 | 0.0 |